(1)
The following is a PBE-GGA calculation of crystalline Ca2NiGe3Pd4 at its relaxed geometry, from Alexandria.

Geometry as POSCAR:
```
Ca2NiGe3Pd4
1.0
-2.5655 -3.1282 -1.0732
3.3043 -2.4810 -0.6673
-0.3493 -3.1933 10.1430
Ca Ni Ge Pd
2 1 3 4
Cartesian
-1.3735 -2.3934 2.0974
1.3936 -3.6045 7.1753
0.1947 -4.4013 4.2012
-0.1747 -1.5966 5.0715
-1.5853 -4.3297 8.2479
1.6054 -1.6682 1.0249
0.3694 -2.8046 -0.8702
0.0000 0.0000 0.0000
-1.5048 -3.5936 5.9099
1.5249 -2.4043 3.3628
```

Summary:
- Energy of formation from the pure elements: -0.602 eV per atom
- Size of the total moment: 0.00 μB per formula unit
- SG: P-4m2, No. 115
- DOS at the Fermi energy: 7.36 states/eV per cell
- DFT total energy: -50.426 eV/cell
- V: 186 Å³ per cell

***

(2)
The following is a PBE-GGA calculation of crystalline PmEr4Os2 at its relaxed geometry, from Alexandria.

Geometry as POSCAR:
```
PmEr4Os2
1.0
-0.6429 6.2530 0.3747
-7.8222 -0.8776 1.2235
4.0203 0.0182 6.5940
Pm Er Os
2 8 4
Cartesian
-2.7914 0.8443 7.5774
-1.6533 4.5494 0.6148
-0.5571 2.7771 5.6990
-0.8438 1.3450 2.5638
-3.6010 4.0486 5.6284
-0.8775 5.8936 5.8858
0.9044 4.6798 2.8267
-3.5673 -0.4999 2.3064
-3.8877 2.6166 2.4932
-5.3491 0.7139 5.3656
1.7072 1.3514 6.8328
-6.1519 4.0422 1.3594
-1.7389 4.3689 3.4795
-2.7059 1.0248 4.7127
```

Summary:
- Energy of formation from the pure elements: -0.195 eV per atom
- Size of the total moment: 0.00 μB per formula unit
- SG: P2_1/m, No. 11
- DOS at the Fermi energy: 11.59 states/eV per cell
- DFT total energy: -93.651 eV/cell
- V: 358 Å³ per cell

***

(3)
The following is a PBE-GGA calculation of crystalline Ba2YRh at its relaxed geometry, from Alexandria.

Geometry as POSCAR:
```
Ba2YRh
1.0
11.5779 0.0000 0.0000
0.0000 11.5779 0.0000
5.7890 5.7890 2.6737
Y Rh Ba
2 2 4
Cartesian
5.7890 5.7890 0.0000
5.7890 11.5779 1.3369
0.0000 0.0000 0.0000
11.5779 5.7890 1.3369
10.3664 2.8945 0.6684
12.7894 8.6834 0.6684
8.6834 7.0005 2.0053
14.4724 4.5774 2.0053
```

Summary:
- Energy of formation from the pure elements: 0.014 eV per atom
- Size of the total moment: 0.00 μB per formula unit
- SG: I-42d, No. 122
- DOS at the Fermi energy: 0.20 states/eV per cell
- DFT total energy: -35.210 eV/cell
- ΔE to the lowest computed polymorph: 258 meV/atom
- V: 358 Å³ per cell

***

(4)
The following is a PBE-GGA calculation of crystalline ErIn2CuPd4 at its relaxed geometry, from Alexandria.

Geometry as POSCAR:
```
ErIn2CuPd4
1.0
-0.1025 -0.2580 -4.6171
2.0648 -3.5272 -2.1657
-5.8251 -5.2808 -1.8925
Er In Cu Pd
1 2 1 4
Cartesian
0.0000 0.0000 0.0000
-2.8108 -6.7458 -6.5113
-1.0521 -2.3200 -2.1639
-1.9315 -4.5329 -4.3376
-4.1801 -5.9278 -4.2097
-0.4712 -5.2946 -6.6444
-3.3917 -3.7713 -2.0309
0.3172 -3.1381 -4.4655
```

Summary:
- Energy of formation from the pure elements: -0.582 eV per atom
- Size of the total moment: 0.00 μB per formula unit
- SG: R-3m, No. 166
- DOS at the Fermi energy: 3.02 states/eV per cell
- DFT total energy: -39.560 eV/cell
- V: 141 Å³ per cell

***

(5)
The following is a PBE-GGA calculation of crystalline Li2ZrCd9 at its relaxed geometry, from Alexandria.

Geometry as POSCAR:
```
Li2ZrCd9
1.0
-0.2974 -4.1215 -1.5538
2.9987 0.9512 -3.0971
9.4292 -3.6945 7.9949
Li Zr Cd
2 1 9
Cartesian
3.1191 -1.2221 2.6447
6.3101 -2.4724 5.3503
0.0000 0.0000 0.0000
1.3507 -1.5851 -2.3255
4.5421 -2.8356 0.3805
7.5885 -4.0292 2.9635
1.4659 -2.6933 0.5921
4.5659 -3.9080 3.2206
7.6660 -5.1226 5.8491
3.1139 -0.1570 -0.1796
6.2140 -1.3716 2.4489
9.3140 -2.5863 5.0774
```

Summary:
- Energy of formation from the pure elements: -0.139 eV per atom
- Size of the total moment: 0.00 μB per formula unit
- SG: P4/mmm, No. 123
- DOS at the Fermi energy: 5.54 states/eV per cell
- DFT total energy: -22.285 eV/cell
- V: 251 Å³ per cell

***

(6)
The following is a PBE-GGA calculation of crystalline LaRe5 at its relaxed geometry, from Alexandria.

Geometry as POSCAR:
```
LaRe5
1.0
-2.2095 -3.8493 -2.9628
-5.1971 0.2034 -1.1943
-1.5501 1.0389 -4.9995
La Re
1 5
Cartesian
0.0000 0.0000 0.0000
-4.8239 -2.1512 -3.2193
-2.2392 -0.6517 -2.2892
-5.6012 -1.6303 -5.7262
-4.4932 0.2999 -4.2405
-2.9952 -1.7323 -5.1273
```

Summary:
- Energy of formation from the pure elements: 0.510 eV per atom
- Size of the total moment: 0.00 μB per formula unit
- SG: F-43m, No. 216
- DOS at the Fermi energy: 6.89 states/eV per cell
- DFT total energy: -64.108 eV/cell
- ΔE to the lowest computed polymorph: 265 meV/atom
- V: 107 Å³ per cell

***

(7)
The following is a PBE-GGA calculation of crystalline LaRhF3 at its relaxed geometry, from Alexandria.

Geometry as POSCAR:
```
LaRhF3
1.0
-1.2719 -3.6523 2.0040
0.2315 -2.1541 -3.7788
4.1595 -0.9969 0.8231
F Rh La
3 1 1
Cartesian
0.1157 -1.0770 -1.8894
2.0798 -0.4984 0.4115
-0.6359 -1.8261 1.0020
0.0000 0.0000 0.0000
1.5596 -3.4016 -0.4759
```

Summary:
- Size of the total moment: 0.71 μB per formula unit
- SG: Pm-3m, No. 221
- DOS at the Fermi energy: 7.90 states/eV per cell
- DFT total energy: -26.006 eV/cell
- ΔE to the lowest computed polymorph: 612 meV/atom
- V: 83 Å³ per cell

***

(8)
The following is a PBE-GGA calculation of crystalline Dy2Ho2Er4Tm at its relaxed geometry, from Alexandria.

Geometry as POSCAR:
```
Dy2Ho2Er4Tm
1.0
3.5399 0.0000 0.0000
-1.7700 9.1833 -0.4855
0.0000 -3.6341 8.6674
Dy Ho Er Tm
2 2 4 1
Cartesian
1.7700 5.2515 2.5586
0.0000 0.2977 5.6233
0.0000 2.4974 8.3386
1.7700 3.0518 -0.1567
1.7700 3.3633 5.4665
0.0000 2.1860 2.7154
1.7700 -0.8673 2.8682
0.0000 6.4165 5.3137
0.0000 0.0000 0.0000
```

Summary:
- Energy of formation from the pure elements: 0.001 eV per atom
- Size of the total moment: 0.00 μB per formula unit
- SG: C2/m, No. 12
- DOS at the Fermi energy: 11.91 states/eV per cell
- DFT total energy: -41.075 eV/cell
- V: 276 Å³ per cell

***

(9)
The following is a PBE-GGA calculation of crystalline Pm2Pr4Sm2Dy at its relaxed geometry, from Alexandria.

Geometry as POSCAR:
```
Pm2Pr4Sm2Dy
1.0
5.1880 0.0000 0.0000
-2.5940 7.7737 0.0042
0.0000 -2.6107 7.7445
Pm Pr Sm Dy
2 4 2 1
Cartesian
2.5940 5.1814 2.5636
0.0000 -0.0184 5.1850
2.5940 2.5769 5.1814
0.0000 2.5860 2.5673
2.5940 -0.0146 2.5667
0.0000 5.1775 5.1820
0.0000 5.1874 0.0038
2.5940 -0.0245 7.7448
0.0000 0.0000 0.0000
```

Summary:
- Energy of formation from the pure elements: 0.015 eV per atom
- Size of the total moment: 0.00 μB per formula unit
- SG: C2/m, No. 12
- DOS at the Fermi energy: 14.29 states/eV per cell
- DFT total energy: -42.522 eV/cell
- V: 312 Å³ per cell

***

(10)
The following is a PBE-GGA calculation of crystalline Mg4Nb2O9 at its relaxed geometry, from Alexandria.

Geometry as POSCAR:
```
Mg4Nb2O9
1.0
-2.3774 4.1003 2.1964
-2.8232 -4.0506 -1.7061
1.1422 -6.1627 12.7411
Mg Nb O
8 4 18
Cartesian
-1.9359 -1.8007 7.4783
-1.5514 -7.3937 12.1236
-2.1225 -4.3124 5.7531
-2.5070 1.2807 1.1078
-2.1744 -0.5135 4.8172
-2.4550 -2.5181 2.0436
-1.8839 -5.5995 8.4142
-1.6033 -3.5949 11.1878
0.4090 -2.2068 4.5625
0.1621 -0.8745 1.8081
0.7332 -3.9559 8.1786
0.9801 -5.2882 10.9331
0.1374 -4.3345 12.3799
-2.1624 -2.9520 13.2548
-2.4156 -5.4913 12.0492
-2.8315 -6.2281 6.4892
-2.8068 -3.6865 7.7163
-0.3829 -4.8909 6.9165
-4.1958 -1.7786 0.8515
-1.8960 -3.1611 -0.0234
-1.6427 -0.6217 1.1822
-1.2269 0.1150 6.7422
-1.2515 -2.4265 5.5151
-3.6755 -1.2221 6.3149
-0.4044 -0.3507 3.8227
-0.5338 -2.7163 2.6901
-3.4056 -1.5054 3.5332
-0.8308 -1.7118 11.1148
-1.1472 -7.4970 8.3449
-0.6527 -4.6076 9.6981
```

Summary:
- Size of the total moment: 0.00 μB per formula unit
- SG: P-3c1, No. 165
- DOS at the Fermi energy: 0.00 states/eV per cell
- DFT total energy: -222.886 eV/cell
- V: 336 Å³ per cell